## Sm3SnN2 (PBE)

Data for Sm3SnN2 after structural relaxation.

a b c (Å): 6.271 6.931 6.942
angles (deg): 111.70 98.80 81.18
Sites, in units of the cell vectors:
Sn1 0.750 0.571 0.570
Sn2 0.250 0.429 0.430
Sm1 0.709 0.114 0.622
Sm2 0.291 0.886 0.378
Sm3 0.250 0.886 0.885
Sm4 0.750 0.114 0.115
Sm5 0.791 0.620 0.114
Sm6 0.209 0.380 0.886
N1 0.472 0.116 0.833
N2 0.528 0.884 0.167
N3 0.029 0.831 0.115
N4 0.971 0.169 0.885

---

## Sm6Sn2N (PBE)

Data for Sm6Sn2N after structural relaxation.

a b c (Å): 7.019 7.019 7.020
angles (deg): 59.99 59.99 60.00
Sites, in units of the cell vectors:
Sm1 0.745 0.255 0.255
Sm2 0.255 0.745 0.745
Sm3 0.745 0.745 0.256
Sm4 0.745 0.255 0.745
Sm5 0.255 0.255 0.744
Sm6 0.255 0.745 0.255
Sn1 0.250 0.250 0.250
Sn2 0.750 0.750 0.750
N1 0.500 0.500 0.500

Energy above the lowest structure with this stoichiometry   0.000 eV per atom

---

## Sm6Sn2N (PBE)

Data for Sm6Sn2N after structural relaxation.

a b c (Å): 3.470 10.050 8.781
angles (deg): 124.91 90.00 90.00
Sites, in units of the cell vectors:
Sn1 0.000 0.602 0.322
Sn2 0.000 0.280 0.678
Sm1 0.500 0.609 0.000
Sm2 0.000 0.039 0.224
Sm3 0.500 0.943 0.508
Sm4 0.000 0.217 0.000
Sm5 0.000 0.815 0.776
Sm6 0.500 0.435 0.492
N1 0.500 0.059 0.000

Energy above the lowest structure with this stoichiometry   0.191 eV per atom

---

## Sm7Sn3N2 (PBE)

Data for Sm7Sn3N2 after structural relaxation.

a b c (Å): 4.888 4.888 13.469
angles (deg): 100.45 100.45 90.00
Sites, in units of the cell vectors:
Sm1 0.093 0.593 0.187
Sm2 0.807 0.807 0.615
Sm3 0.593 0.093 0.187
Sm4 0.907 0.407 0.813
Sm5 0.193 0.193 0.385
Sm6 0.000 0.000 0.000
Sm7 0.407 0.907 0.813
Sn1 0.319 0.319 0.638
Sn2 0.681 0.681 0.362
Sn3 0.500 0.500 0.000
N1 0.099 0.099 0.197
N2 0.901 0.901 0.803

---

## SmSnN2 (PBE)

Data for SmSnN2 after structural relaxation.

a b c (Å): 3.518 3.518 6.365
angles (deg): 73.96 73.96 60.00
Sites, in units of the cell vectors:
N1 0.087 0.087 0.740
N2 0.262 0.262 0.213
Sn1 0.490 0.490 0.531
Sm1 0.661 0.661 0.016

---

## SrSm2SnN4 (PBE)

Data for SrSm2SnN4 after structural relaxation.

a b c (Å): 3.560 6.439 12.481
angles (deg): 90.00 90.00 106.05
Sites, in units of the cell vectors:
N1 0.000 0.000 0.000
N2 0.561 0.122 0.250
N3 0.741 0.482 0.618
N4 0.259 0.518 0.118
N5 0.259 0.518 0.382
N6 0.439 0.878 0.750
N7 0.000 0.000 0.500
N8 0.741 0.482 0.882
Sr1 0.894 0.787 0.250
Sr2 0.106 0.213 0.750
Sm1 0.370 0.740 0.968
Sm2 0.630 0.260 0.032
Sm3 0.630 0.260 0.468
Sm4 0.370 0.740 0.532
Sn1 0.840 0.681 0.750
Sn2 0.160 0.319 0.250

---

## Sm2TaSnN5 (PBE)

Data for Sm2TaSnN5 after structural relaxation.

a b c (Å): 3.312 7.245 10.516
angles (deg): 90.00 90.00 103.21
Sites, in units of the cell vectors:
Sn1 0.482 0.965 0.472
Sn2 0.518 0.035 0.972
Ta1 0.773 0.547 0.505
Ta2 0.227 0.453 0.005
N1 0.702 0.404 0.876
N2 0.298 0.596 0.376
N3 0.719 0.438 0.140
N4 0.499 0.998 0.778
N5 0.501 0.002 0.278
N6 0.070 0.139 0.058
N7 0.930 0.861 0.558
N8 0.366 0.733 0.007
N9 0.634 0.267 0.507
N10 0.281 0.562 0.640
Sm1 0.133 0.266 0.279
Sm2 0.867 0.734 0.779
Sm3 0.882 0.764 0.208
Sm4 0.118 0.236 0.708

---

## Tb2SmSnN4 (PBE)

Data for Tb2SmSnN4 after structural relaxation.

a b c (Å): 3.523 6.178 12.177
angles (deg): 90.00 90.00 106.57
Sites, in units of the cell vectors:
N1 0.263 0.527 0.124
N2 0.737 0.473 0.624
N3 0.737 0.473 0.876
N4 0.000 0.000 0.000
N5 0.463 0.925 0.750
N6 0.000 0.000 0.500
N7 0.537 0.075 0.250
N8 0.263 0.527 0.376
Tb1 0.630 0.259 0.033
Tb2 0.630 0.259 0.467
Tb3 0.370 0.741 0.533
Tb4 0.370 0.741 0.967
Sn1 0.140 0.279 0.250
Sn2 0.860 0.721 0.750
Sm1 0.874 0.748 0.250
Sm2 0.126 0.252 0.750

---

## Tb4Sm2Sn3N2 (PBE)

Data for Tb4Sm2Sn3N2 after structural relaxation.

a b c (Å): 4.738 4.738 13.103
angles (deg): 100.42 100.42 90.00
Sites, in units of the cell vectors:
Tb1 0.417 0.917 0.833
Tb2 0.083 0.583 0.167
Tb3 0.917 0.417 0.833
Tb4 0.583 0.083 0.167
Sn1 0.000 0.000 0.000
Sn2 0.824 0.824 0.647
Sn3 0.176 0.176 0.353
Sm1 0.692 0.692 0.384
Sm2 0.308 0.308 0.616
N1 0.600 0.600 0.200
N2 0.400 0.400 0.800

---

## TbSm2SnN4 (PBE)

Data for TbSm2SnN4 after structural relaxation.

a b c (Å): 3.541 6.142 6.099
angles (deg): 109.89 90.00 90.00
Sites, in units of the cell vectors:
Sm1 0.000 0.500 0.500
Sm2 0.500 0.000 0.500
N1 0.000 0.742 0.250
N2 0.500 0.746 0.752
N3 0.500 0.254 0.248
N4 0.000 0.258 0.750
Sn1 0.000 0.000 0.000
Tb1 0.500 0.500 0.000

---

## TbSm2SnN (PBE)

Data for TbSm2SnN after structural relaxation.

a b c (Å): 4.822 4.938 4.938
angles (deg): 90.00 90.00 90.00
Sites, in units of the cell vectors:
Sm1 0.000 0.000 0.500
Sm2 0.000 0.500 0.000
Sn1 0.500 0.500 0.500
N1 0.000 0.000 0.000
Tb1 0.500 0.000 0.000

---

## SmTh2SnN5 (PBE)

Data for SmTh2SnN5 after structural relaxation.

a b c (Å): 3.607 7.335 11.758
angles (deg): 90.00 90.00 104.23
Sites, in units of the cell vectors:
Sm1 0.763 0.526 0.485
Sm2 0.237 0.474 0.985
N1 0.721 0.441 0.837
N2 0.932 0.865 0.537
N3 0.532 0.064 0.310
N4 0.716 0.431 0.139
N5 0.381 0.762 0.084
N6 0.068 0.135 0.037
N7 0.468 0.936 0.810
N8 0.279 0.559 0.337
N9 0.284 0.569 0.639
N10 0.619 0.238 0.584
Sn1 0.497 0.994 0.482
Sn2 0.503 0.006 0.982
Th1 0.131 0.262 0.237
Th2 0.869 0.738 0.737
Th3 0.135 0.270 0.713
Th4 0.865 0.730 0.213

---

## Sm2Th4Sn3N2 (PBE)

Data for Sm2Th4Sn3N2 after structural relaxation.

a b c (Å): 4.820 4.820 13.479
angles (deg): 100.30 100.30 90.00
Sites, in units of the cell vectors:
Sm1 0.696 0.696 0.393
Sm2 0.304 0.304 0.607
Th1 0.584 0.084 0.167
Th2 0.416 0.916 0.833
Th3 0.916 0.416 0.833
Th4 0.084 0.584 0.167
Sn1 0.822 0.822 0.644
Sn2 0.178 0.178 0.356
Sn3 0.000 0.000 0.000
N1 0.603 0.603 0.205
N2 0.397 0.397 0.795

---

## Sm2USnN5 (PBE)

Data for Sm2USnN5 after structural relaxation.

a b c (Å): 3.493 7.343 10.579
angles (deg): 90.00 90.00 103.76
Sites, in units of the cell vectors:
Sm1 0.131 0.262 0.290
Sm2 0.869 0.738 0.790
Sm3 0.891 0.781 0.194
Sm4 0.109 0.219 0.694
N1 0.697 0.394 0.877
N2 0.280 0.561 0.642
N3 0.504 0.008 0.275
N4 0.303 0.606 0.377
N5 0.059 0.117 0.063
N6 0.496 0.992 0.775
N7 0.371 0.741 0.005
N8 0.941 0.883 0.563
N9 0.629 0.259 0.505
N10 0.720 0.439 0.142
Sn1 0.480 0.960 0.469
Sn2 0.520 0.040 0.969
U1 0.218 0.435 0.008
U2 0.782 0.565 0.508

---

## Sm2YSnN (PBE)

Data for Sm2YSnN after structural relaxation.

a b c (Å): 4.801 4.941 4.941
angles (deg): 90.00 90.00 90.00
Sites, in units of the cell vectors:
Y1 0.500 0.000 0.000
Sm1 0.000 0.000 0.500
Sm2 0.000 0.500 0.000
N1 0.000 0.000 0.000
Sn1 0.500 0.500 0.500

---

## Sm2YSnN4 (PBE)

Data for Sm2YSnN4 after structural relaxation.

a b c (Å): 3.534 6.137 6.084
angles (deg): 109.88 90.00 90.00
Sites, in units of the cell vectors:
N1 0.000 0.258 0.751
N2 0.500 0.254 0.248
N3 0.500 0.746 0.752
N4 0.000 0.742 0.249
Sn1 0.000 0.000 0.000
Y1 0.500 0.500 0.000
Sm1 0.500 0.000 0.500
Sm2 0.000 0.500 0.500

---

## SrSm2N (PBE)

Data for SrSm2N after structural relaxation.

a b c (Å): 3.644 3.644 10.191
angles (deg): 79.70 79.70 60.00
Sites, in units of the cell vectors:
N1 0.500 0.500 0.500
Sm1 0.878 0.878 0.366
Sm2 0.122 0.122 0.634
Sr1 0.000 0.000 0.000

---

## Sr2SmN (PBE)

Data for Sr2SmN after structural relaxation.

a b c (Å): 3.713 3.713 10.691
angles (deg): 80.00 80.00 60.00
Sites, in units of the cell vectors:
Sr1 0.122 0.122 0.634
Sr2 0.878 0.878 0.366
Sm1 0.000 0.000 0.000
N1 0.500 0.500 0.500

---

## SrSm2TaN4 (PBE)

Data for SrSm2TaN4 after structural relaxation.

a b c (Å): 3.510 6.472 12.446
angles (deg): 90.00 90.00 105.73
Sites, in units of the cell vectors:
N1 0.261 0.522 0.126
N2 0.000 0.000 0.000
N3 0.739 0.478 0.874
N4 0.261 0.522 0.374
N5 0.417 0.835 0.750
N6 0.739 0.478 0.626
N7 0.000 0.000 0.500
N8 0.583 0.165 0.250
Sr1 0.902 0.804 0.250
Sr2 0.098 0.196 0.750
Ta1 0.831 0.662 0.750
Ta2 0.169 0.338 0.250
Sm1 0.629 0.258 0.467
Sm2 0.629 0.258 0.033
Sm3 0.371 0.742 0.533
Sm4 0.371 0.742 0.967

---

## SrSmTcN3 (PBE)

Data for SrSmTcN3 after structural relaxation.

a b c (Å): 3.511 9.188 6.845
angles (deg): 101.59 90.00 90.00
Sites, in units of the cell vectors:
Sr1 0.250 0.260 0.256
Sr2 0.750 0.740 0.744
N1 0.250 0.548 0.825
N2 0.250 0.851 0.515
N3 0.750 0.452 0.175
N4 0.750 0.149 0.485
N5 0.250 0.174 0.873
N6 0.750 0.826 0.127
Sm1 0.250 0.624 0.173
Sm2 0.750 0.376 0.827
Tc1 0.750 0.922 0.379
Tc2 0.250 0.078 0.621

---

## Sr2SmTc2N6 (PBE)

Data for Sr2SmTc2N6 after structural relaxation.

a b c (Å): 6.131 6.118 7.061
angles (deg): 118.23 90.00 120.07
Sites, in units of the cell vectors:
Sr1 0.714 0.428 0.178
Sr2 0.286 0.572 0.822
N1 0.768 0.536 0.617
N2 0.825 0.131 0.793
N3 0.232 0.464 0.383
N4 0.694 0.869 0.207
N5 0.306 0.131 0.793
N6 0.175 0.869 0.207
Sm1 0.500 0.000 0.500
Tc1 0.032 0.063 0.202
Tc2 0.968 0.937 0.798

---

no.,raw formation energy (eV/atom)
1,-1.021
2,-0.684
3,-0.493
4,-0.962
5,-0.227
6,-0.816
7,-0.903
8,-0.864
9,-1.031
10,-0.961
11,-1.020
12,-1.060
13,-0.879
14,-0.965
15,-1.025
16,-0.967
17,-0.561
18,-0.241
19,-1.195
20,-0.699
21,-0.612